Density functional theory data (GGA-PBE) for a relaxed Tl3HgAs2 crystal.

formation enthalpy at 0 K = 0.049 eV/atom

Cell lengths 9.238, 9.238, 5.962 Å; angles 90.00, 90.00, 133.03 degrees
Atoms (fractional coordinates):
Tl1 0.113 0.422 0.750
Tl2 0.149 0.851 0.750
Tl3 0.422 0.113 0.250
Tl4 0.578 0.887 0.750
Tl5 0.851 0.149 0.250
Tl6 0.887 0.578 0.250
Hg1 0.315 0.685 0.250
Hg2 0.685 0.315 0.750
As1 0.166 0.166 0.000
As2 0.166 0.166 0.500
As3 0.834 0.834 0.000
As4 0.834 0.834 0.500

***

Density functional theory data (GGA-PBE) for a relaxed TlHgAs2 crystal.

formation enthalpy at 0 K = 0.010 eV/atom

Cell lengths 9.856, 9.856, 9.856 Å; angles 21.13, 21.13, 21.13 degrees
Atoms (fractional coordinates):
Tl1 0.000 0.000 0.000
Hg1 0.760 0.760 0.760
As1 0.234 0.234 0.234
As2 0.519 0.519 0.519